Record 1
SrSnHg2 (PBE, optimized geometry); electronic total energy = -1.92 eV/atom; SG = P4/mmm, No. 123; theoretical density = 8.93 g/cm³
1.0
4.718 0.000 0.000
0.000 4.893 0.000
0.000 0.000 4.893
Hg Sr Sn
2 1 1
Direct
0.000 0.000 0.500 Hg
0.000 0.500 0.000 Hg
0.500 0.500 0.500 Sr
0.500 0.000 0.000 Sn



Record 2
Sr2SnHg8 (PBE, optimized geometry); electronic total energy = -1.17 eV/atom; SG = C2/m, No. 12; theoretical density = 10.10 g/cm³
1.0
4.742 0.000 -1.434
-0.814 6.994 -2.693
0.280 -0.366 9.484
Hg Sr Sn
8 2 1
Direct
0.857 0.855 0.714 Hg
0.143 0.145 0.286 Hg
0.375 0.583 0.750 Hg
0.998 0.301 0.997 Hg
0.002 0.699 0.003 Hg
0.627 0.837 0.254 Hg
0.373 0.163 0.746 Hg
0.625 0.417 0.250 Hg
0.218 0.717 0.436 Sr
0.782 0.283 0.564 Sr
0.500 0.000 0.000 Sn



Record 3
Sr2SnHg2 (PBE, optimized geometry); distance to the lowest polymorph of the same formula = 46.5 meV per atom; electronic total energy = -2.09 eV/atom; SG = P4/mbm, No. 127; theoretical density = 7.30 g/cm³
1.0
8.503 0.000 0.000
0.000 8.503 0.000
0.000 0.000 4.374
Hg Sn Sr
4 2 4
Direct
0.376 0.876 0.000 Hg
0.624 0.124 0.000 Hg
0.876 0.624 0.000 Hg
0.124 0.376 0.000 Hg
0.000 0.000 0.000 Sn
0.500 0.500 0.000 Sn
0.822 0.322 0.500 Sr
0.178 0.678 0.500 Sr
0.678 0.822 0.500 Sr
0.322 0.178 0.500 Sr



Record 4
Sr3Sn2Hg9 (PBE, optimized geometry); electronic total energy = -1.45 eV/atom; SG = Immm, No. 71; theoretical density = 9.74 g/cm³
1.0
4.813 0.000 -0.985
-1.088 9.685 -5.317
-0.602 -1.321 9.308
Hg Sr Sn
9 3 2
Direct
0.660 0.029 0.320 Hg
0.660 0.290 0.320 Hg
0.858 0.141 0.717 Hg
0.858 0.576 0.717 Hg
0.142 0.859 0.283 Hg
0.340 0.710 0.680 Hg
0.000 0.500 0.000 Hg
0.142 0.424 0.283 Hg
0.340 0.971 0.680 Hg
0.302 0.302 0.604 Sr
0.000 0.000 0.000 Sr
0.698 0.698 0.396 Sr
0.500 0.694 0.000 Sn
0.500 0.306 0.000 Sn



Record 5
SrSnHg (PBE, optimized geometry); electronic total energy = -2.49 eV/atom; SG = P3m1, No. 156; theoretical density = 7.29 g/cm³
1.0
4.380 0.000 0.000
0.000 4.943 0.000
0.000 -2.471 4.280
Sr Sn Hg
1 1 1
Direct
0.673 0.667 0.333 Sr
0.209 0.333 0.667 Sn
0.117 0.000 0.000 Hg



Record 6
Sr2Sn2Hg (PBE, optimized geometry); distance to the lowest polymorph of the same formula = 0.0 meV per atom; electronic total energy = -2.92 eV/atom; SG = C2/m, No. 12; theoretical density = 6.39 g/cm³
1.0
5.110 0.000 0.000
2.555 5.942 -0.367
2.555 0.285 10.488
Sr Hg Sn
4 2 4
Direct
0.685 0.298 0.331 Sr
0.315 0.702 0.669 Sr
0.922 0.261 0.895 Sr
0.078 0.739 0.105 Sr
0.614 0.111 0.662 Hg
0.386 0.889 0.338 Hg
0.362 0.164 0.111 Sn
0.914 0.726 0.446 Sn
0.638 0.836 0.889 Sn
0.086 0.274 0.554 Sn



Record 7
Sr2Sn3Hg (PBE, optimized geometry); distance to the lowest polymorph of the same formula = 0.0 meV per atom; electronic total energy = -3.11 eV/atom; SG = Cm, No. 8; theoretical density = 6.59 g/cm³
1.0
4.479 0.000 1.876
1.850 6.236 1.867
-0.129 0.253 6.593
Sn Hg Sr
3 1 2
Direct
0.157 0.807 0.879 Sn
0.844 0.581 0.730 Sn
0.834 0.208 0.124 Sn
0.157 0.413 0.274 Hg
0.563 0.189 0.685 Sr
0.445 0.802 0.308 Sr



Record 8
Sr2Sn3Hg2 (PBE, optimized geometry); distance to the lowest polymorph of the same formula = 6.6 meV per atom; electronic total energy = -2.72 eV/atom; SG = C2/m, No. 12; theoretical density = 7.43 g/cm³
1.0
-4.740 -0.219 -0.518
1.719 0.200 6.176
-0.031 7.284 -2.801
Sn Sr Hg
3 2 2
Direct
0.397 0.793 0.566 Sn
0.500 0.000 0.000 Sn
0.603 0.207 0.434 Sn
0.138 0.276 0.781 Sr
0.862 0.724 0.219 Sr
0.833 0.667 0.763 Hg
0.167 0.333 0.237 Hg